The following is a PBE calculation of a relaxed MnAgAuS2 crystal, from Alexandria via LeMat-Bulk.

mass density = 7396 kg/m³
total magnetization = 0.00 μB per atom
DOS at the Fermi energy = 4.63 states/eV/cell
E_form (uncorrected) = 312 meV per atom

a = 4.2744 Å, b = 5.2093 Å, c = 4.2744 Å
α = 90.00°, β = 90.00°, γ = 90.00°
Atoms (fractional coordinates):
Au: 0.0000 0.5000 0.0000
S: 0.0000 0.0000 0.5000
S: 0.5000 0.0000 0.0000
Ag: 0.5000 0.5000 0.5000
Mn: 0.0000 0.0000 0.0000